Entry 1:
## Cs4Pr3InSe8 (GGA-PBE)

Data for an optimized crystal structure of Cs4Pr3InSe8.

Structure (CIF):
```
data_Cs4Pr3InSe8
_chemical_formula_sum 'Cs4 Pr3 In1 Se8'
_cell_length_a 9.824
_cell_length_b 9.824
_cell_length_c 9.824
_cell_angle_alpha 52.98
_cell_angle_beta 52.98
_cell_angle_gamma 52.98
_symmetry_space_group_name_H-M 'P 1'
_symmetry_Int_Tables_number 1
_symmetry_space_group_name_Hall 'P 1'
loop_
_atom_site_label
_atom_site_type_symbol
_atom_site_fract_x
_atom_site_fract_y
_atom_site_fract_z
Cs1 Cs 0.000 0.000 0.000
Cs2 Cs 0.000 0.500 0.500
Cs3 Cs 0.500 0.000 0.500
Cs4 Cs 0.500 0.500 0.000
Pr1 Pr 0.000 0.000 0.500
Pr2 Pr 0.000 0.500 0.000
Pr3 Pr 0.500 0.000 0.000
In1 In 0.500 0.500 0.500
Se1 Se 0.231 0.231 0.231
Se2 Se 0.242 0.723 0.723
Se3 Se 0.277 0.277 0.758
Se4 Se 0.277 0.758 0.277
Se5 Se 0.723 0.242 0.723
Se6 Se 0.723 0.723 0.242
Se7 Se 0.758 0.277 0.277
Se8 Se 0.769 0.769 0.769
```

Values from the calculation:
uncorrected formation energy	-33.859	kcal/mol of atoms

=====

Entry 2:
## CsPrInTe3 (GGA-PBE)

Data for an optimized crystal structure of CsPrInTe3.

Structure (CIF):
```
data_CsPrInTe3
_chemical_formula_sum 'Cs2 Pr2 In2 Te6'
_cell_length_a 10.253
_cell_length_b 4.743
_cell_length_c 11.481
_cell_angle_alpha 90.00
_cell_angle_beta 106.08
_cell_angle_gamma 90.00
_symmetry_space_group_name_H-M 'P 1'
_symmetry_Int_Tables_number 1
_symmetry_space_group_name_Hall 'P 1'
loop_
_atom_site_label
_atom_site_type_symbol
_atom_site_fract_x
_atom_site_fract_y
_atom_site_fract_z
Cs1 Cs 0.203 0.250 0.242
Cs2 Cs 0.797 0.750 0.758
Pr1 Pr 0.341 0.750 0.875
Pr2 Pr 0.659 0.250 0.125
In1 In 0.073 0.250 0.622
In2 In 0.927 0.750 0.378
Te1 Te 0.127 0.250 0.884
Te2 Te 0.224 0.750 0.570
Te3 Te 0.461 0.750 0.159
Te4 Te 0.539 0.250 0.841
Te5 Te 0.776 0.250 0.430
Te6 Te 0.873 0.750 0.116
```

Values from the calculation:
uncorrected formation energy	-22.391	kcal/mol of atoms

=====

Entry 3:
## Cs4Pr3InTe8 (GGA-PBE)

Data for an optimized crystal structure of Cs4Pr3InTe8.

Structure (CIF):
```
data_Cs4Pr3InTe8
_chemical_formula_sum 'Cs4 Pr3 In1 Te8'
_cell_length_a 10.456
_cell_length_b 10.456
_cell_length_c 10.456
_cell_angle_alpha 53.07
_cell_angle_beta 53.07
_cell_angle_gamma 53.07
_symmetry_space_group_name_H-M 'P 1'
_symmetry_Int_Tables_number 1
_symmetry_space_group_name_Hall 'P 1'
loop_
_atom_site_label
_atom_site_type_symbol
_atom_site_fract_x
_atom_site_fract_y
_atom_site_fract_z
Cs1 Cs 0.000 0.000 0.000
Cs2 Cs 0.000 0.500 0.500
Cs3 Cs 0.500 0.000 0.500
Cs4 Cs 0.500 0.500 0.000
Pr1 Pr 0.000 0.000 0.500
Pr2 Pr 0.000 0.500 0.000
Pr3 Pr 0.500 0.000 0.000
In1 In 0.500 0.500 0.500
Te1 Te 0.232 0.232 0.232
Te2 Te 0.242 0.725 0.725
Te3 Te 0.275 0.275 0.758
Te4 Te 0.275 0.758 0.275
Te5 Te 0.725 0.242 0.725
Te6 Te 0.725 0.725 0.242
Te7 Te 0.758 0.275 0.275
Te8 Te 0.768 0.768 0.768
```

Values from the calculation:
uncorrected formation energy	-27.357	kcal/mol of atoms

=====

Entry 4:
## Cs2PrInTe4 (GGA-PBE)

Data for an optimized crystal structure of Cs2PrInTe4.

Structure (CIF):
```
data_Cs2PrInTe4
_chemical_formula_sum 'Cs2 Pr1 In1 Te4'
_cell_length_a 7.704
_cell_length_b 7.704
_cell_length_c 7.704
_cell_angle_alpha 104.86
_cell_angle_beta 104.86
_cell_angle_gamma 119.15
_symmetry_space_group_name_H-M 'P 1'
_symmetry_Int_Tables_number 1
_symmetry_space_group_name_Hall 'P 1'
loop_
_atom_site_label
_atom_site_type_symbol
_atom_site_fract_x
_atom_site_fract_y
_atom_site_fract_z
Cs1 Cs 0.000 0.500 0.500
Cs2 Cs 0.500 0.000 0.500
Pr1 Pr 0.000 0.000 0.000
In1 In 0.500 0.500 0.000
Te1 Te 0.102 0.102 0.661
Te2 Te 0.441 0.441 0.339
Te3 Te 0.559 0.898 0.000
Te4 Te 0.898 0.559 0.000
```

Values from the calculation:
uncorrected formation energy	-22.750	kcal/mol of atoms

=====

Entry 5:
## CsInPt2 (GGA-PBE)

Data for an optimized crystal structure of CsInPt2.

Structure (CIF):
```
data_CsInPt2
_chemical_formula_sum 'Cs1 In1 Pt2'
_cell_length_a 7.049
_cell_length_b 7.049
_cell_length_c 7.049
_cell_angle_alpha 39.13
_cell_angle_beta 39.13
_cell_angle_gamma 39.13
_symmetry_space_group_name_H-M 'P 1'
_symmetry_Int_Tables_number 1
_symmetry_space_group_name_Hall 'P 1'
loop_
_atom_site_label
_atom_site_type_symbol
_atom_site_fract_x
_atom_site_fract_y
_atom_site_fract_z
Cs1 Cs 0.000 0.000 0.000
In1 In 0.500 0.500 0.500
Pt1 Pt 0.176 0.176 0.176
Pt2 Pt 0.824 0.824 0.824
```

Values from the calculation:
formation enthalpy at 0 K	-31	kJ per mole of atoms

=====

Entry 6:
## Cs2In2Pt (GGA-PBE)

Data for an optimized crystal structure of Cs2In2Pt.

Structure (CIF):
```
data_Cs2In2Pt
_chemical_formula_sum 'Cs2 In2 Pt1'
_cell_length_a 12.041
_cell_length_b 12.041
_cell_length_c 12.041
_cell_angle_alpha 22.58
_cell_angle_beta 22.58
_cell_angle_gamma 22.58
_symmetry_space_group_name_H-M 'P 1'
_symmetry_Int_Tables_number 1
_symmetry_space_group_name_Hall 'P 1'
loop_
_atom_site_label
_atom_site_type_symbol
_atom_site_fract_x
_atom_site_fract_y
_atom_site_fract_z
Cs1 Cs 0.069 0.069 0.069
Cs2 Cs 0.931 0.931 0.931
In1 In 0.187 0.187 0.187
In2 In 0.813 0.813 0.813
Pt1 Pt 0.500 0.500 0.500
```

Values from the calculation:
formation enthalpy at 0 K	-23	kJ per mole of atoms
distance to the lowest polymorph of the same formula	0.000	eV/atom

=====

Entry 7:
## CsIn3Pt (GGA-PBE)

Data for an optimized crystal structure of CsIn3Pt.

Structure (CIF):
```
data_CsIn3Pt
_chemical_formula_sum 'Cs1 In3 Pt1'
_cell_length_a 5.379
_cell_length_b 5.379
_cell_length_c 5.379
_cell_angle_alpha 90.00
_cell_angle_beta 90.00
_cell_angle_gamma 90.00
_symmetry_space_group_name_H-M 'P 1'
_symmetry_Int_Tables_number 1
_symmetry_space_group_name_Hall 'P 1'
loop_
_atom_site_label
_atom_site_type_symbol
_atom_site_fract_x
_atom_site_fract_y
_atom_site_fract_z
Cs1 Cs 0.000 0.000 0.000
In1 In 0.000 0.500 0.500
In2 In 0.500 0.000 0.500
In3 In 0.500 0.500 0.000
Pt1 Pt 0.500 0.500 0.500
```

Values from the calculation:
formation enthalpy at 0 K	-16	kJ per mole of atoms
distance to the lowest polymorph of the same formula	0.075	eV/atom

=====

Entry 8:
## CsInPt (GGA-PBE)

Data for an optimized crystal structure of CsInPt.

Structure (CIF):
```
data_CsInPt
_chemical_formula_sum 'Cs1 In1 Pt1'
_cell_length_a 4.605
_cell_length_b 4.605
_cell_length_c 5.882
_cell_angle_alpha 90.00
_cell_angle_beta 90.00
_cell_angle_gamma 120.00
_symmetry_space_group_name_H-M 'P 1'
_symmetry_Int_Tables_number 1
_symmetry_space_group_name_Hall 'P 1'
loop_
_atom_site_label
_atom_site_type_symbol
_atom_site_fract_x
_atom_site_fract_y
_atom_site_fract_z
Cs1 Cs 0.000 0.000 0.000
In1 In 0.667 0.333 0.500
Pt1 Pt 0.333 0.667 0.500
```

Values from the calculation:
formation enthalpy at 0 K	-22	kJ per mole of atoms
distance to the lowest polymorph of the same formula	0.077	eV/atom

=====

Entry 9:
## CsInPt3 (GGA-PBE)

Data for an optimized crystal structure of CsInPt3.

Structure (CIF):
```
data_CsInPt3
_chemical_formula_sum 'Cs1 In1 Pt3'
_cell_length_a 5.276
_cell_length_b 5.276
_cell_length_c 5.276
_cell_angle_alpha 90.00
_cell_angle_beta 90.00
_cell_angle_gamma 90.00
_symmetry_space_group_name_H-M 'P 1'
_symmetry_Int_Tables_number 1
_symmetry_space_group_name_Hall 'P 1'
loop_
_atom_site_label
_atom_site_type_symbol
_atom_site_fract_x
_atom_site_fract_y
_atom_site_fract_z
Cs1 Cs 0.000 0.000 0.000
In1 In 0.500 0.500 0.500
Pt1 Pt 0.000 0.000 0.500
Pt2 Pt 0.000 0.500 0.000
Pt3 Pt 0.500 0.000 0.000
```

Values from the calculation:
formation enthalpy at 0 K	165	kJ per mole of atoms
distance to the lowest polymorph of the same formula	1.127	eV/atom

=====

Entry 10:
## CsInPt3 (GGA-PBE)

Data for an optimized crystal structure of CsInPt3.

Structure (CIF):
```
data_CsInPt3
_chemical_formula_sum 'Cs1 In1 Pt3'
_cell_length_a 5.164
_cell_length_b 5.164
_cell_length_c 5.164
_cell_angle_alpha 90.00
_cell_angle_beta 90.00
_cell_angle_gamma 90.00
_symmetry_space_group_name_H-M 'P 1'
_symmetry_Int_Tables_number 1
_symmetry_space_group_name_Hall 'P 1'
loop_
_atom_site_label
_atom_site_type_symbol
_atom_site_fract_x
_atom_site_fract_y
_atom_site_fract_z
Cs1 Cs 0.000 0.000 0.000
In1 In 0.500 0.500 0.500
Pt1 Pt 0.000 0.500 0.500
Pt2 Pt 0.500 0.000 0.500
Pt3 Pt 0.500 0.500 0.000
```

Values from the calculation:
formation enthalpy at 0 K	56	kJ per mole of atoms
distance to the lowest polymorph of the same formula	0.000	eV/atom

=====

Entry 11:
## CsIn3Pt (GGA-PBE)

Data for an optimized crystal structure of CsIn3Pt.

Structure (CIF):
```
data_CsIn3Pt
_chemical_formula_sum 'Cs4 In12 Pt4'
_cell_length_a 9.317
_cell_length_b 7.583
_cell_length_c 9.946
_cell_angle_alpha 90.00
_cell_angle_beta 103.53
_cell_angle_gamma 90.00
_symmetry_space_group_name_H-M 'P 1'
_symmetry_Int_Tables_number 1
_symmetry_space_group_name_Hall 'P 1'
loop_
_atom_site_label
_atom_site_type_symbol
_atom_site_fract_x
_atom_site_fract_y
_atom_site_fract_z
Cs1 Cs 0.129 0.116 0.209
Cs2 Cs 0.129 0.384 0.709
Cs3 Cs 0.871 0.616 0.291
Cs4 Cs 0.871 0.884 0.791
In1 In 0.196 0.643 0.088
In2 In 0.196 0.857 0.588
In3 In 0.334 0.532 0.392
In4 In 0.334 0.968 0.892
In5 In 0.483 0.118 0.647
In6 In 0.483 0.382 0.147
In7 In 0.517 0.618 0.853
In8 In 0.517 0.882 0.353
In9 In 0.666 0.032 0.108
In10 In 0.666 0.468 0.608
In11 In 0.804 0.143 0.412
In12 In 0.804 0.357 0.912
Pt1 Pt 0.479 0.742 0.097
Pt2 Pt 0.479 0.758 0.597
Pt3 Pt 0.521 0.242 0.403
Pt4 Pt 0.521 0.258 0.903
```

Values from the calculation:
formation enthalpy at 0 K	-24	kJ per mole of atoms
distance to the lowest polymorph of the same formula	0.000	eV/atom

=====

Entry 12:
## CsIn2Pt (GGA-PBE)

Data for an optimized crystal structure of CsIn2Pt.

Structure (CIF):
```
data_CsIn2Pt
_chemical_formula_sum 'Cs1 In2 Pt1'
_cell_length_a 5.391
_cell_length_b 5.391
_cell_length_c 5.391
_cell_angle_alpha 60.00
_cell_angle_beta 60.00
_cell_angle_gamma 60.00
_symmetry_space_group_name_H-M 'P 1'
_symmetry_Int_Tables_number 1
_symmetry_space_group_name_Hall 'P 1'
loop_
_atom_site_label
_atom_site_type_symbol
_atom_site_fract_x
_atom_site_fract_y
_atom_site_fract_z
Cs1 Cs 0.000 0.000 0.000
In1 In 0.250 0.250 0.250
In2 In 0.750 0.750 0.750
Pt1 Pt 0.500 0.500 0.500
```

Values from the calculation:
formation enthalpy at 0 K	25	kJ per mole of atoms

=====

no.,total magnetization (μB/f.u.)
1,0.00
2,0.00
3,0.00
4,0.00
5,0.00
6,0.10
7,0.00
8,0.00
9,0.00
10,0.00
11,0.00
12,0.00